Computed, not measured: an optimized crystal structure of Nb3V4Sn2 at the GGA-PBE level of DFT.

Structure (CIF):
```
data_Nb3V4Sn2
_chemical_formula_sum 'Nb3 V4 Sn2'
_space_group_name_H-M_alt 'P 1'
_space_group_IT_number 1
_cell_length_a 4.544
_cell_length_b 4.545
_cell_length_c 8.408
_cell_angle_alpha 89.99
_cell_angle_beta 90.00
_cell_angle_gamma 120.00
loop_
_space_group_symop_operation_xyz
'x,y,z'
loop_
_atom_site_label
_atom_site_type_symbol
_atom_site_fract_x
_atom_site_fract_y
_atom_site_fract_z
_atom_site_occupancy
Nb1 Nb 0.333 0.667 0.573 1
Nb2 Nb 0.000 0.000 0.000 1
Nb3 Nb 0.667 0.333 0.427 1
V1 V 0.667 0.333 0.103 1
V2 V 0.000 0.000 0.648 1
V3 V 0.000 0.000 0.352 1
V4 V 0.333 0.667 0.897 1
Sn1 Sn 0.333 0.667 0.223 1
Sn2 Sn 0.667 0.333 0.777 1
```

Computed properties:
Space group = P-3m1
Density = 7.9 g cm⁻³
Electronic total energy = -0.3068 Ha/atom
ΔE_f = -50 meV per atom

---

Computed, not measured: an optimized crystal structure of Nb2V9Sn at the GGA-PBE level of DFT.

Structure (CIF):
```
data_Nb2V9Sn
_chemical_formula_sum 'Nb2 V9 Sn1'
_space_group_name_H-M_alt 'P 1'
_space_group_IT_number 1
_cell_length_a 5.121
_cell_length_b 5.121
_cell_length_c 8.617
_cell_angle_alpha 72.71
_cell_angle_beta 72.71
_cell_angle_gamma 60.00
loop_
_space_group_symop_operation_xyz
'x,y,z'
loop_
_atom_site_label
_atom_site_type_symbol
_atom_site_fract_x
_atom_site_fract_y
_atom_site_fract_z
_atom_site_occupancy
Nb1 Nb 0.855 0.855 0.435 1
Nb2 Nb 0.145 0.145 0.565 1
V1 V 0.667 0.667 0.998 1
V2 V 0.333 0.333 0.002 1
V3 V 0.500 0.500 0.500 1
V4 V 0.415 0.415 0.251 1
V5 V 0.919 0.415 0.251 1
V6 V 0.415 0.919 0.251 1
V7 V 0.585 0.585 0.749 1
V8 V 0.585 0.081 0.749 1
V9 V 0.081 0.585 0.749 1
Sn1 Sn 0.000 0.000 0.000 1
```

Computed properties:
Space group = R-3m
Density = 6.9 g cm⁻³
Electronic total energy = -0.3197 Ha/atom
ΔE_f = 150 meV per atom

---

Computed, not measured: an optimized crystal structure of NbV2Sn at the GGA-PBE level of DFT.

Structure (CIF):
```
data_NbV2Sn
_chemical_formula_sum 'Nb1 V2 Sn1'
_space_group_name_H-M_alt 'P 1'
_space_group_IT_number 1
_cell_length_a 3.343
_cell_length_b 3.343
_cell_length_c 5.978
_cell_angle_alpha 90.00
_cell_angle_beta 90.00
_cell_angle_gamma 90.00
loop_
_space_group_symop_operation_xyz
'x,y,z'
loop_
_atom_site_label
_atom_site_type_symbol
_atom_site_fract_x
_atom_site_fract_y
_atom_site_fract_z
_atom_site_occupancy
Nb1 Nb 0.500 0.500 0.000 1
Sn1 Sn 0.500 0.500 0.500 1
V1 V 0.000 0.000 0.771 1
V2 V 0.000 0.000 0.229 1
```

Computed properties:
Space group = P4/mmm
Density = 7.8 g cm⁻³
Electronic total energy = -0.2988 Ha/atom
ΔE_f = -52 meV per atom

---

Computed, not measured: an optimized crystal structure of Nb5V2Sn4 at the GGA-PBE level of DFT.

Structure (CIF):
```
data_Nb5V2Sn4
_chemical_formula_sum 'Nb5 V2 Sn4'
_space_group_name_H-M_alt 'P 1'
_space_group_IT_number 1
_cell_length_a 2.955
_cell_length_b 7.465
_cell_length_c 9.420
_cell_angle_alpha 94.55
_cell_angle_beta 90.00
_cell_angle_gamma 90.00
loop_
_space_group_symop_operation_xyz
'x,y,z'
loop_
_atom_site_label
_atom_site_type_symbol
_atom_site_fract_x
_atom_site_fract_y
_atom_site_fract_z
_atom_site_occupancy
Nb1 Nb 0.000 0.559 0.303 1
Nb2 Nb 0.000 0.177 0.156 1
Nb3 Nb 0.000 0.500 0.000 1
Nb4 Nb 0.000 0.823 0.844 1
Nb5 Nb 0.000 0.441 0.697 1
V1 V 0.000 0.061 0.627 1
V2 V 0.000 0.939 0.373 1
Sn1 Sn 0.500 0.733 0.566 1
Sn2 Sn 0.500 0.178 0.876 1
Sn3 Sn 0.500 0.267 0.434 1
Sn4 Sn 0.500 0.822 0.124 1
```

Computed properties:
Space group = P2/m
Density = 8.3 g cm⁻³
Electronic total energy = -0.2770 Ha/atom
ΔE_f = 153 meV per atom

---

Computed, not measured: an optimized crystal structure of NbVSn2 at the GGA-PBE level of DFT.

Structure (CIF):
```
data_NbVSn2
_chemical_formula_sum 'Nb2 V2 Sn4'
_space_group_name_H-M_alt 'P 1'
_space_group_IT_number 1
_cell_length_a 7.547
_cell_length_b 7.547
_cell_length_c 6.104
_cell_angle_alpha 51.82
_cell_angle_beta 51.82
_cell_angle_gamma 90.00
loop_
_space_group_symop_operation_xyz
'x,y,z'
loop_
_atom_site_label
_atom_site_type_symbol
_atom_site_fract_x
_atom_site_fract_y
_atom_site_fract_z
_atom_site_occupancy
Nb1 Nb 0.000 0.000 0.000 1
Nb2 Nb 0.750 0.250 0.500 1
Sn1 Sn 0.611 0.125 0.250 1
Sn2 Sn 0.139 0.625 0.250 1
Sn3 Sn 0.375 0.389 0.750 1
Sn4 Sn 0.875 0.861 0.750 1
V1 V 0.500 0.500 0.000 1
V2 V 0.250 0.750 0.500 1
```

Computed properties:
Distance to the lowest polymorph of the same formula = 25.46 kJ/mol of atoms
Space group = I-42d
Density = 7.5 g cm⁻³
Electronic total energy = -0.2327 Ha/atom
ΔE_f = 466 meV per atom

---

Computed, not measured: an optimized crystal structure of Nb3VSn at the GGA-PBE level of DFT.

Structure (CIF):
```
data_Nb3VSn
_chemical_formula_sum 'Nb3 V1 Sn1'
_space_group_name_H-M_alt 'P 1'
_space_group_IT_number 1
_cell_length_a 5.031
_cell_length_b 5.031
_cell_length_c 5.031
_cell_angle_alpha 90.00
_cell_angle_beta 90.00
_cell_angle_gamma 90.00
loop_
_space_group_symop_operation_xyz
'x,y,z'
loop_
_atom_site_label
_atom_site_type_symbol
_atom_site_fract_x
_atom_site_fract_y
_atom_site_fract_z
_atom_site_occupancy
Nb1 Nb 0.000 0.500 0.000 1
Nb2 Nb 0.000 0.000 0.500 1
Nb3 Nb 0.500 0.000 0.000 1
Sn1 Sn 0.000 0.000 0.000 1
V1 V 0.500 0.500 0.500 1
```

Computed properties:
Distance to the lowest polymorph of the same formula = 184.46 kJ/mol of atoms
Space group = Pm-3m
Density = 5.8 g cm⁻³
Electronic total energy = -0.2499 Ha/atom
ΔE_f = 1866 meV per atom

---

Computed, not measured: an optimized crystal structure of NbV2Sn at the GGA-PBE level of DFT.

Structure (CIF):
```
data_NbV2Sn
_chemical_formula_sum 'Nb2 V4 Sn2'
_space_group_name_H-M_alt 'P 1'
_space_group_IT_number 1
_cell_length_a 7.242
_cell_length_b 7.242
_cell_length_c 5.823
_cell_angle_alpha 51.55
_cell_angle_beta 51.55
_cell_angle_gamma 90.00
loop_
_space_group_symop_operation_xyz
'x,y,z'
loop_
_atom_site_label
_atom_site_type_symbol
_atom_site_fract_x
_atom_site_fract_y
_atom_site_fract_z
_atom_site_occupancy
Nb1 Nb 0.500 0.500 0.000 1
Nb2 Nb 0.250 0.750 0.500 1
Sn1 Sn 0.000 0.000 0.000 1
Sn2 Sn 0.750 0.250 0.500 1
V1 V 0.601 0.125 0.250 1
V2 V 0.149 0.625 0.250 1
V3 V 0.375 0.399 0.750 1
V4 V 0.875 0.851 0.750 1
```

Computed properties:
Space group = I-42d
Density = 7.2 g cm⁻³
Electronic total energy = -0.2733 Ha/atom
ΔE_f = 642 meV per atom

---

Computed, not measured: an optimized crystal structure of NbV6Sn2 at the GGA-PBE level of DFT.

Structure (CIF):
```
data_NbV6Sn2
_chemical_formula_sum 'Nb1 V6 Sn2'
_space_group_name_H-M_alt 'P 1'
_space_group_IT_number 1
_cell_length_a 2.838
_cell_length_b 7.918
_cell_length_c 7.989
_cell_angle_alpha 56.22
_cell_angle_beta 78.31
_cell_angle_gamma 81.14
loop_
_space_group_symop_operation_xyz
'x,y,z'
loop_
_atom_site_label
_atom_site_type_symbol
_atom_site_fract_x
_atom_site_fract_y
_atom_site_fract_z
_atom_site_occupancy
Nb1 Nb 0.500 0.500 0.500 1
V1 V 0.050 0.504 0.179 1
V2 V 0.950 0.496 0.821 1
V3 V 0.733 0.821 0.496 1
V4 V 0.852 0.176 0.824 1
V5 V 0.148 0.824 0.176 1
V6 V 0.267 0.179 0.504 1
Sn1 Sn 0.338 0.162 0.162 1
Sn2 Sn 0.662 0.838 0.838 1
```

Computed properties:
Space group = C2/m
Density = 7.2 g cm⁻³
Electronic total energy = -0.2921 Ha/atom
ΔE_f = 140 meV per atom